Below is a relaxed K2NaPu3O12 crystal, with properties calculated at the PBE-GGA level.

Formation energy (no corrections) in eV/f.u.: -40.28

CIF file:
```
data_K2NaPu3O12
_chemical_formula_sum 'K2 Na1 Pu3 O12'
_cell_length_a 7.2928
_cell_length_b 7.2928
_cell_length_c 7.2928
_cell_angle_alpha 66.52
_cell_angle_beta 66.52
_cell_angle_gamma 66.52
_symmetry_space_group_name_H-M 'P 1'
_symmetry_Int_Tables_number 1
_symmetry_space_group_name_Hall 'P 1'
loop_
_atom_site_label
_atom_site_type_symbol
_atom_site_fract_x
_atom_site_fract_y
_atom_site_fract_z
K1 K 0.1153 0.1153 0.1153
K2 K 0.8847 0.8847 0.8847
Na1 Na 0.5000 0.5000 0.5000
Pu1 Pu 0.0000 0.5000 0.5000
Pu2 Pu 0.5000 0.0000 0.5000
Pu3 Pu 0.5000 0.5000 0.0000
O1 O 0.0727 0.6250 0.6250
O2 O 0.2202 0.2202 0.6031
O3 O 0.2202 0.6031 0.2202
O4 O 0.3750 0.3750 0.9273
O5 O 0.3750 0.9273 0.3750
O6 O 0.3969 0.7798 0.7798
O7 O 0.6031 0.2202 0.2202
O8 O 0.6250 0.0727 0.6250
O9 O 0.6250 0.6250 0.0727
O10 O 0.7798 0.3970 0.7798
O11 O 0.7798 0.7798 0.3969
O12 O 0.9273 0.3750 0.3750
```